Record 1
This record from Alexandria describes a geometry-optimized Ce4InPb3 structure. The functional is PBE.

Calculated values
E_form: -138 kJ/mol of formula units
magnetic moment: 3.94 μB per formula unit
space group: C2/m, No. 12
N(E_F): 2.417 states/eV/atom

a b c (Å): 8.0212 8.0212 5.6703
angles (deg): 107.48 107.48 41.48
Closest atoms and distances in Å follow each position.
Fractional positions:
Ce  0.1223  0.1223  0.1020  1 Ce 2.92
Ce  0.2458  0.2458  0.7945  1 Ce 2.92
Ce  0.7542  0.7542  0.2055  1 Ce 2.92
Ce  0.8777  0.8777  0.8980  1 Ce 2.92
In  0.0000  0.0000  0.5000  6 Ce 3.32-3.53, 4 Pb 3.42
Pb  0.3662  0.3662  0.3912  5 Ce 3.28-3.50, 2 Pb 3.39-3.44, 2 In 3.42
Pb  0.5000  0.5000  0.0000  6 Ce 3.33-3.61, 4 Pb 3.39-3.44
Pb  0.6338  0.6338  0.6088  5 Ce 3.28-3.50, 2 Pb 3.39-3.44, 2 In 3.42

---

Record 2
This record from Alexandria describes a geometry-optimized Dy2TaAl2Ru5 structure. The functional is PBE.

Calculated values
E_form: -455 kJ/mol of formula units
magnetic moment: 0.00 μB per formula unit
space group: P4/mbm, No. 127
N(E_F): 0.797 states/eV/atom

a b c (Å): 10.1303 10.1303 3.2929
angles (deg): 90.00 90.00 90.00
Closest atoms and distances in Å follow each position.
Fractional positions:
Dy  0.1718  0.3282  0.0000  3 Al 2.89-3.06, 10 Ru 2.96-3.20
Dy  0.3282  0.8282  0.0000  3 Al 2.89-3.06, 10 Ru 2.96-3.20
Dy  0.6718  0.1718  0.0000  3 Al 2.89-3.06, 10 Ru 2.96-3.20
Dy  0.8282  0.6718  0.0000  3 Al 2.89-3.06, 10 Ru 2.96-3.20
Ta  0.0000  0.0000  0.0000  8 Ru 2.69
Ta  0.5000  0.5000  0.0000  8 Ru 2.69
Al  0.1266  0.6266  0.0000  6 Ru 2.45-2.49
Al  0.3734  0.1266  0.0000  6 Ru 2.45-2.49
Al  0.6266  0.8734  0.0000  6 Ru 2.45-2.49
Al  0.8734  0.3734  0.0000  6 Ru 2.45-2.49
Ru  0.0000  0.5000  0.5000  4 Al 2.45
Ru  0.0667  0.8009  0.5000  2 Al 2.49, 2 Ta 2.69
Ru  0.1991  0.0667  0.5000  2 Al 2.49, 2 Ta 2.69
Ru  0.3009  0.5667  0.5000  2 Al 2.49, 2 Ta 2.69
Ru  0.4333  0.3009  0.5000  2 Al 2.49, 2 Ta 2.69
Ru  0.5000  0.0000  0.5000  4 Al 2.45
Ru  0.5667  0.6991  0.5000  2 Al 2.49, 2 Ta 2.69
Ru  0.6991  0.4333  0.5000  2 Al 2.49, 2 Ta 2.69
Ru  0.8009  0.9333  0.5000  2 Al 2.49, 2 Ta 2.69
Ru  0.9333  0.1991  0.5000  2 Al 2.49, 2 Ta 2.69

---

Record 3
This record from Alexandria describes a geometry-optimized Na2AsF6 structure. The functional is PBE.

Calculated values
magnetic moment: 0.93 μB per formula unit
space group: P4_2/mnm, No. 136
N(E_F): 0.273 states/eV/atom
E_form (uncorrected): -2.383 eV/atom

a b c (Å): 5.0894 5.0894 10.0874
angles (deg): 90.00 90.00 90.00
Closest atoms and distances in Å follow each position.
Fractional positions:
Na  0.0000  0.0000  0.1638  6 F 2.30-2.37
Na  0.0000  0.0000  0.8362  6 F 2.30-2.37
Na  0.5000  0.5000  0.3362  6 F 2.30-2.37
Na  0.5000  0.5000  0.6638  6 F 2.30-2.37
As  0.0000  0.0000  0.5000  6 F 1.92-1.93
As  0.5000  0.5000  0.0000  6 F 1.92-1.93
F  0.1818  0.1818  0.3598  1 As 1.93
F  0.1818  0.1818  0.6402  1 As 1.93
F  0.2328  0.2328  0.0000  1 As 1.92
F  0.2672  0.7328  0.5000  1 As 1.92
F  0.3182  0.6818  0.1402  1 As 1.93
F  0.3182  0.6818  0.8598  1 As 1.93
F  0.6818  0.3182  0.1402  1 As 1.93
F  0.6818  0.3182  0.8598  1 As 1.93
F  0.7328  0.2672  0.5000  1 As 1.92
F  0.7672  0.7672  0.0000  1 As 1.92
F  0.8182  0.8182  0.3598  1 As 1.93
F  0.8182  0.8182  0.6402  1 As 1.93

---

Record 4
This record from Alexandria describes a geometry-optimized Zr2BeZnIr2 structure. The functional is PBE.

Calculated values
E_form: -362 kJ/mol of formula units
magnetic moment: 0.00 μB per formula unit
space group: Ibam, No. 72
N(E_F): 0.558 states/eV/atom

a b c (Å): 7.7305 7.7305 7.7305
angles (deg): 138.42 59.60 139.28
Closest atoms and distances in Å follow each position.
Fractional positions:
Zr  0.1725  0.1994  0.3719  5 Ir 2.71-2.85, 2 Zn 2.89
Zr  0.3275  0.6994  0.0270  5 Ir 2.71-2.85, 2 Zn 2.89
Zr  0.6725  0.3006  0.9730  5 Ir 2.71-2.85, 2 Zn 2.89
Zr  0.8275  0.8006  0.6281  5 Ir 2.71-2.85, 2 Zn 2.89
Be  0.2500  0.7500  0.5000  4 Ir 2.40
Be  0.7500  0.2500  0.5000  4 Ir 2.40
Zn  0.2500  0.2500  0.0000  2 Zn 2.69, 4 Ir 2.73, 2 Be 2.74, 4 Zr 2.89
Zn  0.7500  0.7500  0.0000  2 Zn 2.69, 4 Ir 2.73, 2 Be 2.74, 4 Zr 2.89
Ir  0.1253  0.6932  0.8185  2 Be 2.40
Ir  0.3747  0.1932  0.5679  2 Be 2.40
Ir  0.6253  0.8068  0.4321  2 Be 2.40
Ir  0.8747  0.3068  0.1815  2 Be 2.40

---

Record 5
This record from Alexandria describes a geometry-optimized Li2Mg2SbO6 structure. The functional is PBE.

Calculated values
magnetic moment: 1.06 μB per formula unit
space group: C2/m, No. 12
N(E_F): 0.490 states/eV/atom
E_form (uncorrected): -1.931 eV/atom

a b c (Å): 5.3353 5.3353 5.2269
angles (deg): 100.66 100.66 119.40
Closest atoms and distances in Å follow each position.
Fractional positions:
Li  0.1678  0.8322  0.0000  6 O 2.18-2.25
Li  0.8322  0.1678  0.0000  6 O 2.18-2.25
Mg  0.3405  0.6595  0.5000  6 O 2.08-2.18
Mg  0.6595  0.3405  0.5000  6 O 2.08-2.18
Sb  0.0000  0.0000  0.5000  6 O 1.99-2.03
O  0.0602  0.3920  0.7210  1 Sb 2.03, 2 Mg 2.09-2.18, 2 Li 2.22-2.25
O  0.2330  0.2330  0.2806  1 Sb 1.99, 2 Mg 2.08, 2 Li 2.18
O  0.3920  0.0602  0.7210  1 Sb 2.03, 2 Mg 2.09-2.18, 2 Li 2.22-2.25
O  0.6080  0.9398  0.2790  1 Sb 2.03, 2 Mg 2.09-2.18, 2 Li 2.22-2.25
O  0.7670  0.7670  0.7194  1 Sb 1.99, 2 Mg 2.08, 2 Li 2.18
O  0.9398  0.6080  0.2790  1 Sb 2.03, 2 Mg 2.09-2.18, 2 Li 2.22-2.25

---

Record 6
This record from Alexandria describes a geometry-optimized Li3Ho2ScTe6 structure. The functional is PBE.

Calculated values
magnetic moment: 0.00 μB per formula unit
space group: C2/m, No. 12
E_form (uncorrected): -1.247 eV/atom

a b c (Å): 7.4039 7.4039 7.4459
angles (deg): 99.55 99.55 120.01
Closest atoms and distances in Å follow each position.
Fractional positions:
Li  0.0000  0.0000  0.0000  6 Te 2.99-3.09
Li  0.3315  0.6685  0.0000  6 Te 2.99-3.07
Li  0.6685  0.3315  0.0000  6 Te 2.99-3.07
Ho  0.1665  0.8335  0.5000  6 Te 3.06-3.07
Ho  0.8335  0.1665  0.5000  6 Te 3.06-3.07
Sc  0.5000  0.5000  0.5000  6 Te 2.96-2.97
Te  0.0932  0.4163  0.2487  1 Sc 2.97, 3 Li 2.99-3.07, 2 Ho 3.07
Te  0.2608  0.2608  0.7501  1 Sc 2.96, 3 Li 3.01-3.09, 2 Ho 3.06
Te  0.4163  0.0932  0.2487  1 Sc 2.97, 3 Li 2.99-3.07, 2 Ho 3.07
Te  0.5837  0.9068  0.7513  1 Sc 2.97, 3 Li 2.99-3.07, 2 Ho 3.07
Te  0.7392  0.7392  0.2499  1 Sc 2.96, 3 Li 3.01-3.09, 2 Ho 3.06
Te  0.9068  0.5837  0.7513  1 Sc 2.97, 3 Li 2.99-3.07, 2 Ho 3.07